A plane-wave DFT calculation with PBE-GGA was carried out for a relaxed Sm5HoEr2Sc crystal.

a b c (Å): 5.314 11.179 10.136
angles (deg): 90.00 90.00 103.75
Element x y z (fractional)
Sm: 0.001 0.003 0.508
Sm: 0.500 0.000 0.258
Sm: 0.374 0.748 0.008
Sm: 0.999 0.997 0.008
Sm: 0.279 0.559 0.696
Sm: 0.721 0.441 0.820
Sm: 0.500 0.000 0.758
Sm: 0.721 0.441 0.196
Sm: 0.626 0.252 0.508
Sm: 0.279 0.559 0.320
Er: 0.884 0.768 0.757
Er: 0.116 0.232 0.760
Er: 0.116 0.232 0.257
Er: 0.884 0.768 0.260
Ho: 0.399 0.799 0.508
Ho: 0.601 0.201 0.008
Sc: 0.785 0.570 0.508
Sc: 0.215 0.430 0.008

Results
space-group type	Cmcm
electronic total energy	-84.9	eV per cell
calculated formation energy	131	meV per atom
theoretical density	7.36	g cm⁻³